Record 1
Compound: ZrUSn
Source: Alexandria via LeMat-Bulk
Functional: PBE
Structure: relaxed

Cell lengths 4.7199, 4.7199, 8.1351 Å; angles 73.14, 73.14, 60.00 degrees
Closest atoms and distances in Å follow each position.
Fractional positions:
Zr 0.2103 0.2103 0.3692  4 Sn 2.92-3.05, 1 U 3.07
Zr 0.7897 0.7897 0.6308  4 Sn 2.92-3.05, 1 U 3.07
U 0.3436 0.3436 0.9692  3 U 2.77, 1 Zr 3.07
U 0.6564 0.6564 0.0308  3 U 2.77, 1 Zr 3.07
Sn 0.9223 0.9223 0.2332  4 Zr 2.92-3.05, 3 U 3.14
Sn 0.0777 0.0777 0.7668  4 Zr 2.92-3.05, 3 U 3.14

E = -7.838 eV/atom
Symmetry = No. 166

***

Record 2
Compound: Rb2HfTlBr6
Source: Alexandria via LeMat-Bulk
Functional: PBE
Structure: relaxed

Cell lengths 8.2826, 8.2826, 8.2843 Å; angles 60.01, 60.01, 90.00 degrees
Closest atoms and distances in Å follow each position.
Fractional positions:
Tl 0.0000 0.0000 0.0000  6 Br 3.19
Hf 0.5000 0.5000 0.0000  6 Br 2.67
Br 0.2722 0.2722 0.4555  1 Hf 2.67
Br 0.7278 0.7278 0.5445  1 Hf 2.67
Br 0.2723 0.2723 0.0000  1 Hf 2.67
Br 0.7277 0.7277 0.0000  1 Hf 2.67
Br 0.7277 0.2723 0.0000  1 Hf 2.67
Br 0.2723 0.7277 0.0000  1 Hf 2.67
Rb 0.7500 0.2500 0.5000  12 Br 4.15
Rb 0.2500 0.7500 0.5000  12 Br 4.15

Raw formation energy = -1314 meV per atom
Symmetry = No. 225

***

Record 3
Compound: Cd2SiAgTe4
Source: Alexandria via LeMat-Bulk
Functional: PBE
Structure: relaxed

Cell lengths 6.5466, 6.5466, 7.8995 Å; angles 114.44, 114.44, 90.09 degrees
Closest atoms and distances in Å follow each position.
Fractional positions:
Cd 0.7501 0.2501 0.5002  4 Te 2.88
Cd 0.2501 0.7501 0.5002  4 Te 2.88
Si 0.5003 0.5003 0.0005  4 Te 2.69
Ag 0.0001 0.0001 0.0001  4 Te 2.82
Te 0.6248 0.6248 0.7662  1 Si 2.69, 1 Ag 2.82, 2 Cd 2.88
Te 0.3747 0.8589 0.2335  1 Si 2.69, 1 Ag 2.82, 2 Cd 2.88
Te 0.8589 0.3747 0.2335  1 Si 2.69, 1 Ag 2.82, 2 Cd 2.88
Te 0.1414 0.1414 0.7662  1 Si 2.69, 1 Ag 2.82, 2 Cd 2.88

Raw formation energy = -161 meV per atom
Symmetry = No. 42

***

Record 4
Compound: NaBPb3
Source: Alexandria via LeMat-Bulk
Functional: PBE
Structure: relaxed

Cell lengths 5.2045, 5.2045, 5.2045 Å; angles 90.00, 90.00, 90.00 degrees
Closest atoms and distances in Å follow each position.
Fractional positions:
Pb 0.0000 0.5000 0.0000  2 B 2.60
Pb 0.0000 0.0000 0.5000  2 B 2.60
Pb 0.5000 0.0000 0.0000  2 B 2.60
Na 0.5000 0.5000 0.5000  12 Pb 3.68
B 0.0000 0.0000 0.0000  6 Pb 2.60

E = -3.299 eV/atom
Symmetry = No. 221

***

Record 5
Compound: Cs3Np2PbSe6
Source: Alexandria via LeMat-Bulk
Functional: PBE
Structure: relaxed

Cell lengths 7.5912, 7.5912, 8.6910 Å; angles 98.35, 98.35, 119.94 degrees
Closest atoms and distances in Å follow each position.
Fractional positions:
Cs 0.1587 0.8413 0.5000  6 Se 3.56-3.69
Cs 0.8413 0.1587 0.5000  6 Se 3.56-3.69
Cs 0.5000 0.5000 0.5000  6 Se 3.52-3.69
Np 0.3327 0.6673 0.0000  6 Se 2.90
Np 0.6673 0.3327 0.0000  6 Se 2.90
Pb 0.0000 0.0000 0.0000  6 Se 3.11-3.13
Se 0.9370 0.5801 0.8116  2 Np 2.90, 1 Pb 3.13
Se 0.7052 0.7052 0.1848  2 Np 2.90, 1 Pb 3.11
Se 0.0630 0.4199 0.1884  2 Np 2.90, 1 Pb 3.13
Se 0.5801 0.9370 0.8116  2 Np 2.90, 1 Pb 3.13
Se 0.2948 0.2948 0.8152  2 Np 2.90, 1 Pb 3.11
Se 0.4199 0.0630 0.1884  2 Np 2.90, 1 Pb 3.13

Raw formation energy = -1141 meV per atom
Symmetry = No. 12

***

Record 6
Compound: PCl2F6
Source: Alexandria via LeMat-Bulk
Functional: PBE
Structure: relaxed

Cell lengths 6.6056, 6.6056, 6.0849 Å; angles 57.13, 57.13, 60.00 degrees
Closest atoms and distances in Å follow each position.
Fractional positions:
P 0.0000 0.0000 0.0000  6 F 1.64
Cl 0.3060 0.3060 0.0821  3 F 2.67
Cl 0.6940 0.6940 0.9179  3 F 2.67
F 0.8875 0.0289 0.7983  1 P 1.64
F 0.0289 0.2854 0.7983  1 P 1.64
F 0.2854 0.8875 0.7983  1 P 1.64
F 0.1125 0.9711 0.2017  1 P 1.64
F 0.9711 0.7146 0.2017  1 P 1.64
F 0.7146 0.1125 0.2017  1 P 1.64

Raw formation energy = -1451 meV per atom
Symmetry = No. 148

***

Record 7
Compound: RbCSe3
Source: Alexandria via LeMat-Bulk
Functional: PBE
Structure: relaxed

Cell lengths 4.7420, 4.7420, 4.7420 Å; angles 90.00, 90.00, 90.00 degrees
Closest atoms and distances in Å follow each position.
Fractional positions:
C 0.0000 0.0000 0.0000  6 Se 2.37
Se 0.0000 0.5000 0.0000  2 C 2.37
Se 0.0000 0.0000 0.5000  2 C 2.37
Se 0.5000 0.0000 0.0000  2 C 2.37
Rb 0.5000 0.5000 0.5000  12 Se 3.35

Raw formation energy = 743 meV per atom
Symmetry = No. 221

***

Record 8
Compound: CaCu2
Source: Alexandria via LeMat-Bulk
Functional: PBE
Structure: relaxed

Cell lengths 3.5167, 3.5167, 13.1952 Å; angles 90.00, 90.00, 120.00 degrees
Closest atoms and distances in Å follow each position.
Fractional positions:
Ca 0.0000 0.0000 0.0000  6 Cu 2.92
Ca 0.0000 0.0000 0.5000  6 Cu 2.92
Cu 0.3333 0.6667 0.8412  1 Cu 2.41
Cu 0.6667 0.3333 0.3412  1 Cu 2.41
Cu 0.3333 0.6667 0.6588  1 Cu 2.41
Cu 0.6667 0.3333 0.1588  1 Cu 2.41

E = -2.828 eV/atom
Symmetry = No. 194